The following is a DFT calculation (PBE) of crystalline TlAgSn2I6 at its relaxed geometry.

```
data_TlAgSn2I6
_space_group_name_H-M_alt 'R 3'
_space_group_IT_number 146
_space_group_name_Hall 'R 3'
_cell_length_a 8.0564
_cell_length_b 8.0564
_cell_length_c 22.3235
_cell_angle_alpha 90.00
_cell_angle_beta 90.00
_cell_angle_gamma 120.00
loop_
_atom_site_label
_atom_site_type_symbol
_atom_site_fract_x
_atom_site_fract_y
_atom_site_fract_z
Tl1 Tl 0.0000 0.0000 0.0000
Ag1 Ag 0.0000 0.0000 0.5082
Sn1 Sn 0.0000 0.0000 0.1887
Sn2 Sn 0.0000 0.0000 0.6976
I1 I 0.0022 0.3389 0.1046
I2 I 0.0561 0.7066 0.2636
```

- Total DFT energy (no corrections): -2.695 eV/atom
- Formation energy (no corrections): -443 meV per atom

The following is a DFT calculation (PBE) of crystalline Tl2AgSnI5 at its relaxed geometry.

```
data_Tl2AgSnI5
_space_group_name_H-M_alt 'C m c 21'
_space_group_IT_number 36
_cell_length_a 4.6817
_cell_length_b 20.5998
_cell_length_c 15.0179
_cell_angle_alpha 90.00
_cell_angle_beta 90.00
_cell_angle_gamma 90.00
loop_
_space_group_symop_operation_xyz
'x,y,z'
'-x,-y,z+1/2'
'-x,y,z'
'x,-y,z+1/2'
'x+1/2,y+1/2,z'
'-x+1/2,-y+1/2,z+1/2'
'-x+1/2,y+1/2,z'
'x+1/2,-y+1/2,z+1/2'
loop_
_atom_site_label
_atom_site_type_symbol
_atom_site_fract_x
_atom_site_fract_y
_atom_site_fract_z
Tl1 Tl 0.0000 0.1002 0.0000
Tl2 Tl 0.0000 0.1263 0.6435
Ag1 Ag 0.0000 0.4411 0.7653
Sn1 Sn 0.0000 0.2081 0.3486
I1 I 0.0000 0.0475 0.3710
I2 I 0.0000 0.2836 0.9948
I3 I 0.0000 0.3034 0.7002
I4 I 0.0000 0.3585 0.3284
I5 I 0.0000 0.4955 0.0997
```

- Total DFT energy (no corrections): -2.665 eV/atom
- Formation energy (no corrections): -517 meV per atom

The following is a DFT calculation (PBE) of crystalline Tl3Ag3SnI8 at its relaxed geometry.

```
data_Tl3Ag3SnI8
_space_group_name_H-M_alt 'C 1 2/m 1'
_space_group_IT_number 12
_cell_length_a 15.7704
_cell_length_b 9.0810
_cell_length_c 9.5540
_cell_angle_alpha 90.00
_cell_angle_beta 123.25
_cell_angle_gamma 90.00
loop_
_space_group_symop_operation_xyz
'x,y,z'
'-x,-y,-z'
'-x,y,-z'
'x,-y,z'
'x+1/2,y+1/2,z'
'-x+1/2,-y+1/2,-z'
'-x+1/2,y+1/2,-z'
'x+1/2,-y+1/2,z'
loop_
_atom_site_label
_atom_site_type_symbol
_atom_site_fract_x
_atom_site_fract_y
_atom_site_fract_z
Tl1 Tl 0.0000 0.0000 0.0000
Tl2 Tl 0.2500 0.2500 0.0000
Ag1 Ag 0.0000 0.5000 0.5000
Ag2 Ag 0.2500 0.2500 0.5000
Sn1 Sn 0.0000 0.0000 0.5000
I1 I 0.0139 0.2596 0.2836
I2 I 0.2361 0.5000 0.7068
I3 I 0.2444 0.0000 0.7152
```

- Total DFT energy (no corrections): -2.560 eV/atom
- Formation energy (no corrections): -423 meV per atom

The following is a DFT calculation (PBE) of crystalline Sr2AgI at its relaxed geometry.

```
data_Sr2AgI
_space_group_name_H-M_alt 'R -3 m'
_space_group_IT_number 166
_space_group_name_Hall '-R 3 2"'
_cell_length_a 4.5279
_cell_length_b 4.5279
_cell_length_c 26.0332
_cell_angle_alpha 90.00
_cell_angle_beta 90.00
_cell_angle_gamma 120.00
loop_
_atom_site_label
_atom_site_type_symbol
_atom_site_fract_x
_atom_site_fract_y
_atom_site_fract_z
Sr1 Sr 0.0000 0.0000 0.2372
Ag1 Ag 0.0000 0.0000 0.5000
I1 I 0.0000 0.0000 0.0000
```

- Total DFT energy (no corrections): -2.686 eV/atom
- E above lowest polymorph: 0.00 kcal/mol of atoms
- Formation energy (no corrections): -744 meV per atom